Entry 1:
Ho2ZrCd: relaxed, PBE.

```
Ho2ZrCd
1.0
-0.026 -0.332 3.245
-2.553 -1.392 1.477
4.265 -11.067 0.541
Ho Zr Cd
2 1 1
direct
0.090 0.090 0.729
0.910 0.910 0.271
0.000 0.000 0.000
0.500 0.500 0.500
```

**Formation enthalpy at 0 K**: 0.26 eV/atom
**Total magnetic moment**: 0.00 μB/atom
**Symmetry**: R-3m
**Uncorrected energy**: -0.3233 Ry per atom

Entry 2:
HoZrCd: relaxed, PBE.

```
HoZrCd
1.0
3.386 0.000 0.000
0.000 3.386 0.000
-1.693 -1.693 6.512
Ho Zr Cd
1 1 1
direct
0.999 0.999 0.998
0.328 0.328 0.656
0.673 0.673 0.346
```

**Formation enthalpy at 0 K**: -0.13 eV/atom
**Total magnetic moment**: 0.00 μB/atom
**Symmetry**: I4mm
**Uncorrected energy**: -0.3537 Ry per atom

Entry 3:
Ho3Zr2Cd3: relaxed, PBE.

```
Ho3Zr2Cd3
1.0
-3.447 0.131 0.590
0.345 -4.321 2.971
3.297 8.298 7.041
Ho Zr Cd
3 2 3
direct
0.368 0.368 0.736
0.632 0.632 0.264
0.500 0.000 0.000
0.263 0.763 0.526
0.737 0.237 0.474
0.880 0.880 0.761
0.000 0.500 0.000
0.120 0.120 0.239
```

**Formation enthalpy at 0 K**: -0.18 eV/atom
**Total magnetic moment**: 0.00 μB/atom
**Symmetry**: Immm
**Uncorrected energy**: -0.3218 Ry per atom

Entry 4:
HoZrCd6: relaxed, PBE.

```
HoZrCd6
1.0
-2.783 1.282 3.398
-2.785 -3.501 -0.961
4.427 -5.039 5.527
Ho Zr Cd
1 1 6
direct
0.000 0.000 0.000
0.000 0.000 0.500
0.500 0.500 0.000
0.500 0.500 0.500
0.500 0.000 0.259
0.500 0.000 0.741
0.000 0.500 0.259
0.000 0.500 0.741
```

**Formation enthalpy at 0 K**: -0.16 eV/atom
**Total magnetic moment**: 0.00 μB/atom
**Symmetry**: P4/mmm
**Uncorrected energy**: -0.1829 Ry per atom

Entry 5:
Ho2ZrCd: relaxed, PBE.

```
Ho2ZrCd
1.0
3.433 0.000 0.000
0.000 3.433 0.000
0.000 0.000 8.927
Ho Zr Cd
2 1 1
direct
0.000 0.000 0.754
0.000 0.000 0.246
0.500 0.500 0.500
0.500 0.500 0.000
```

**Formation enthalpy at 0 K**: -0.13 eV/atom
**Total magnetic moment**: 0.00 μB/atom
**Symmetry**: P4/mmm
**Uncorrected energy**: -0.3518 Ry per atom

Entry 6:
Ho3ZrCd2: relaxed, PBE.

```
Ho3ZrCd2
1.0
-1.599 -2.059 2.283
3.039 -1.448 0.821
1.756 8.974 9.324
Ho Zr Cd
3 1 2
direct
0.000 0.000 0.000
0.000 0.000 0.672
0.000 0.000 0.328
0.500 0.500 0.500
0.500 0.500 0.839
0.500 0.500 0.161
```

**Formation enthalpy at 0 K**: -0.18 eV/atom
**Total magnetic moment**: 0.00 μB/atom
**Symmetry**: P4/mmm
**Uncorrected energy**: -0.3088 Ry per atom